No. 1
# Ta2NiSb, optimized geometry, DFT GGA-PBE
# Calculated volume = 17.55 Å³/atom
# Uncorrected formation energy = 0.005 eV per formula unit
# DFT total energy = -8.40 eV per atom
data_Ta2NiSb
_chemical_formula_sum 'Ta2 Ni1 Sb1'
_symmetry_space_group_name_H-M 'P 4 m m'
_symmetry_Int_Tables_number 99
_cell_length_a 3.470
_cell_length_b 3.470
_cell_length_c 5.831
_cell_angle_alpha 90.00
_cell_angle_beta 90.00
_cell_angle_gamma 90.00
loop_
_symmetry_equiv_pos_as_xyz
'x,y,z'
'-y,x,z'
'-x,-y,z'
'y,-x,z'
'-x,y,z'
'y,x,z'
'x,-y,z'
'-y,-x,z'
loop_
_atom_site_label
_atom_site_type_symbol
_atom_site_fract_x
_atom_site_fract_y
_atom_site_fract_z
_atom_site_occupancy
Ta1 Ta 0.000 0.000 0.000 1
Ta2 Ta 0.500 0.500 0.245 1
Ni1 Ni 0.000 0.000 0.475 1
Sb1 Sb 0.500 0.500 0.726 1



No. 2
# TaNi2Sb, optimized geometry, DFT GGA-PBE
# Calculated volume = 15.09 Å³/atom
# Uncorrected formation energy = -0.268 eV per formula unit
# DFT total energy = -6.95 eV per atom
data_TaNi2Sb
_chemical_formula_sum 'Ta1 Ni2 Sb1'
_symmetry_space_group_name_H-M 'P 4/m m m'
_symmetry_Int_Tables_number 123
_symmetry_space_group_name_Hall '-P 4 2'
_cell_length_a 4.005
_cell_length_b 4.005
_cell_length_c 3.762
_cell_angle_alpha 90.00
_cell_angle_beta 90.00
_cell_angle_gamma 90.00
loop_
_atom_site_label
_atom_site_type_symbol
_atom_site_fract_x
_atom_site_fract_y
_atom_site_fract_z
_atom_site_occupancy
Ta1 Ta 0.000 0.000 0.000 1
Ni1 Ni 0.000 0.500 0.500 1
Sb1 Sb 0.500 0.500 0.000 1



No. 3
# TaNi2Sb, optimized geometry, DFT GGA-PBE
# Calculated volume = 15.25 Å³/atom
# Uncorrected formation energy = 0.147 eV per formula unit
# DFT total energy = -6.85 eV per atom
data_TaNi2Sb
_chemical_formula_sum 'Ta2 Ni4 Sb2'
_symmetry_space_group_name_H-M 'I m m 2'
_symmetry_Int_Tables_number 44
_cell_length_a 3.191
_cell_length_b 4.323
_cell_length_c 8.846
_cell_angle_alpha 90.00
_cell_angle_beta 90.00
_cell_angle_gamma 90.00
loop_
_symmetry_equiv_pos_as_xyz
'x,y,z'
'-x,-y,z'
'-x,y,z'
'x,-y,z'
'x+1/2,y+1/2,z+1/2'
'-x+1/2,-y+1/2,z+1/2'
'-x+1/2,y+1/2,z+1/2'
'x+1/2,-y+1/2,z+1/2'
loop_
_atom_site_label
_atom_site_type_symbol
_atom_site_fract_x
_atom_site_fract_y
_atom_site_fract_z
_atom_site_occupancy
Ta1 Ta 0.000 0.000 0.000 1
Ni1 Ni 0.000 0.000 0.497 1
Ni2 Ni 0.000 0.500 0.222 1
Sb1 Sb 0.000 0.500 0.766 1